No. 1
! Cd4Ag3Pd | the Alexandria database | GGA-PBE | relaxed; values from VASP
! * energy above the lowest structure with this stoichiometry: 0.000 eV/atom
! * energy of formation: -0.138 eV per atom
! * size of the total moment: 0.0 Bohr magnetons per cell
! * DOS at the Fermi energy: 3.18 states/eV per cell
&SYSTEM
  ibrav = 0, nat = 16, ntyp = 3
/
ATOMIC_SPECIES
Pd 106.42 Pd.upf
Ag 107.87 Ag.upf
Cd 112.41 Cd.upf
CELL_PARAMETERS angstrom
-1.214 0.163 4.695
-3.672 -5.282 -0.766
7.545 -5.556 2.143
ATOMIC_POSITIONS crystal
Pd 0.000 0.500 0.000
Pd 0.000 0.500 0.500
Ag 0.000 0.000 0.000
Ag 0.000 0.000 0.500
Ag 0.569 0.000 0.750
Ag 0.431 0.000 0.250
Ag 0.573 0.500 0.750
Ag 0.427 0.500 0.250
Cd 0.500 0.743 0.000
Cd 0.500 0.743 0.500
Cd 0.500 0.257 0.000
Cd 0.500 0.257 0.500
Cd 0.065 0.744 0.750
Cd 0.935 0.744 0.250
Cd 0.935 0.256 0.250
Cd 0.065 0.256 0.750

No. 2
! BeP3Se | the Alexandria database | GGA-PBE | relaxed; values from VASP
! * energy above the lowest structure with this stoichiometry: 0.000 eV/atom
! * E_form (uncorrected): 0.7494 eV per atom
! * size of the total moment: 0.0 Bohr magnetons per cell
! * DOS at the Fermi energy: 2.69 states/eV per cell
&SYSTEM
  ibrav = 0, nat = 5, ntyp = 3
/
ATOMIC_SPECIES
P 30.97 P.upf
Se 78.96 Se.upf
Be 9.01 Be.upf
CELL_PARAMETERS angstrom
4.295 0.000 0.000
0.000 4.295 0.000
0.000 0.000 4.295
ATOMIC_POSITIONS crystal
P 0.000 0.500 0.000
P 0.000 0.000 0.500
P 0.500 0.000 0.000
Se 0.500 0.500 0.500
Be 0.000 0.000 0.000

No. 3
! MnV4Ge4 | the Alexandria database | GGA-PBE | relaxed; values from VASP
! * energy of formation: -0.096 eV per atom
! * size of the total moment: 1.3 Bohr magnetons per cell
! * DOS at the Fermi energy: 6.01 states/eV per cell
&SYSTEM
  ibrav = 0, nat = 9, ntyp = 3
/
ATOMIC_SPECIES
Mn 54.94 Mn.upf
V 50.94 V.upf
Ge 72.64 Ge.upf
CELL_PARAMETERS angstrom
3.713 0.000 0.000
1.857 5.955 0.000
1.857 0.000 5.955
ATOMIC_POSITIONS crystal
Mn 0.000 0.000 0.000
V 0.669 0.661 0.000
V 0.331 0.339 0.000
V 0.669 0.000 0.661
V 0.331 0.000 0.339
Ge 0.706 0.294 0.294
Ge 0.294 0.706 0.706
Ge 0.000 0.706 0.294
Ge 0.000 0.294 0.706